This record from Alexandria via LeMat-Bulk describes an optimized crystal structure of Ho3Ga4Ag4. The functional is PBE-GGA.

Properties
The symmetry is Immm. The mass density comes out at 8.9 g/cm3. The total magnetization is 0.00 μB per cell. As for the energy of formation: -0.43 eV per atom. The total energy is -3.82 eV/atom.

Cell: 4.5812 3.5001 14.2686 Å, 97.05 99.24 90.00°
Atoms (fractional coordinates):
1 Ho 0.0000 0.0000 0.0000
2 Ga 0.8141 0.3141 0.6281
3 Ho 0.6421 0.1421 0.2841
4 Ag 0.9076 0.4076 0.8152
5 Ag 0.7378 0.7378 0.4757
6 Ag 0.0924 0.5924 0.1848
7 Ag 0.2622 0.2622 0.5243
8 Ho 0.3579 0.8579 0.7159
9 Ga 0.5464 0.5464 0.0927
10 Ga 0.4536 0.4536 0.9073
11 Ga 0.1859 0.6859 0.3719